Record 1
VASP calculation (SCAN) on a PBEsol-optimized structure of Ba2SbPt.

## Properties
total magnetization	0.000	μB per formula unit
formation energy (no corrections)	-748	meV per atom
uncorrected energy	-47.3866	eV per atom

Cell: 5.7872 5.7872 3.7926 Å, 90.00 90.00 90.00°
Space group P4/mmm (No. 123)
Unique sites:
Ba 0.0000 0.5000 0.0000 (multiplicity 2)
Sb 0.0000 0.0000 0.5000 (multiplicity 1)
Pt 0.5000 0.5000 0.5000 (multiplicity 1)

=====

Record 2
VASP calculation (SCAN) on a PBEsol-optimized structure of BaSbPt.

## Properties
total magnetization	0.000	μB per formula unit
formation energy (no corrections)	-1118	meV per atom
uncorrected energy	-50.1192	eV per atom

Cell: 4.5371 4.5371 4.8758 Å, 90.00 90.00 120.00°
Space group P-6m2 (No. 187)
Unique sites:
Ba 0.0000 0.0000 0.0000 (multiplicity 1)
Sb 0.3333 0.6667 0.5000 (multiplicity 1)
Pt 0.6667 0.3333 0.5000 (multiplicity 1)

=====

> The lowest uncorrected energy belongs to which entry?

BaSbPt